! Mg2Fe3O8 PBE+U optimized geometry; values from VASP
&SYSTEM
  ibrav = 0, nat = 13, ntyp = 3
/
ATOMIC_SPECIES
O 16.00 O.upf
Fe 55.84 Fe.upf
Mg 24.30 Mg.upf
CELL_PARAMETERS angstrom
2.163 -1.516 -5.241
4.305 -3.961 -0.467
-2.070 -4.204 -1.224
ATOMIC_POSITIONS angstrom
O 1.093 -3.120 -4.003
O 3.305 -6.562 -2.930
O 2.131 -5.222 -5.545
Fe -1.035 -2.102 -0.612
O 3.894 -8.730 -6.219
O 2.267 -4.459 -1.387
Mg 3.953 -5.397 -4.538
Fe 2.717 -2.148 -4.007
O 3.796 -3.605 -3.550
Mg 0.445 -4.284 -2.394
Fe 3.751 -3.329 -1.701
O 0.602 -6.077 -3.382
O 0.504 -0.952 -0.714
! total energy: -6.034 eV per atom